Compound: BaNiSbH2
Source: the Alexandria database
Functional: PBE
Structure: optimized geometry

Summary:
As for the symmetry: Cmcm, No. 63. The total energy comes out at -4.09 eV/atom.

Lattice parameters (Å, degrees): 6.508 6.508 6.585 90.00 90.00 142.70
Element x y z (fractional)
Ba1 0.207 0.793 0.750
Ba2 0.793 0.207 0.250
Ni1 0.500 0.500 0.000
Ni2 0.500 0.500 0.500
Sb1 0.060 0.940 0.250
Sb2 0.940 0.060 0.750
H1 0.373 0.627 0.038
H2 0.373 0.627 0.462
H3 0.627 0.373 0.538
H4 0.627 0.373 0.962